A plane-wave DFT calculation with PBE+U was carried out for a geometry-optimized CrBiO3 structure.

Summary:
Size of the total moment in Bohr magnetons per cell: 24.00

```
data_CrBiO3
_chemical_formula_sum 'Cr8 Bi8 O24'
_symmetry_space_group_name_H-M 'C 1 2/c 1'
_symmetry_Int_Tables_number 15
_cell_length_a 9.636
_cell_length_b 5.588
_cell_length_c 9.762
_cell_angle_alpha 90.00
_cell_angle_beta 108.83
_cell_angle_gamma 90.00
loop_
_symmetry_equiv_pos_as_xyz
'x,y,z'
'-x,-y,-z'
'-x,y,-z+1/2'
'x,-y,z+1/2'
'x+1/2,y+1/2,z'
'-x+1/2,-y+1/2,-z'
'-x+1/2,y+1/2,-z+1/2'
'x+1/2,-y+1/2,z+1/2'
loop_
_atom_site_label
_atom_site_type_symbol
_atom_site_fract_x
_atom_site_fract_y
_atom_site_fract_z
_atom_site_occupancy
Cr1 Cr 0.000 0.240 0.250 1
Cr2 Cr 0.250 0.250 0.000 1
Bi1 Bi 0.134 0.210 0.631 1
O1 O 0.084 0.198 0.084 1
O2 O 0.148 0.021 0.841 1
O3 O 0.155 0.473 0.365 1
```

---

A plane-wave DFT calculation with PBE+U was carried out for a geometry-optimized Cr3BiO structure.

Summary:
Size of the total moment in Bohr magnetons per cell: 13.00

```
data_Cr3BiO
_chemical_formula_sum 'Cr3 Bi1 O1'
_symmetry_space_group_name_H-M 'P m -3 m'
_symmetry_Int_Tables_number 221
_symmetry_space_group_name_Hall '-P 4 2 3'
_cell_length_a 4.475
_cell_length_b 4.475
_cell_length_c 4.475
_cell_angle_alpha 90.00
_cell_angle_beta 90.00
_cell_angle_gamma 90.00
loop_
_atom_site_label
_atom_site_type_symbol
_atom_site_fract_x
_atom_site_fract_y
_atom_site_fract_z
_atom_site_occupancy
Cr1 Cr 0.000 0.000 0.500 1
Bi1 Bi 0.500 0.500 0.500 1
O1 O 0.000 0.000 0.000 1
```

---

A plane-wave DFT calculation with PBE+U was carried out for a geometry-optimized CrBi2O6 structure.

Summary:
Size of the total moment in Bohr magnetons per cell: 2.07

```
data_CrBi2O6
_chemical_formula_sum 'Cr1 Bi2 O6'
_symmetry_space_group_name_H-M 'P -3'
_symmetry_Int_Tables_number 147
_cell_length_a 5.5923
_cell_length_b 5.5923
_cell_length_c 3.8698
_cell_angle_alpha 90.00
_cell_angle_beta 90.00
_cell_angle_gamma 120.00
loop_
_symmetry_equiv_pos_as_xyz
'x,y,z'
'-x,-y,-z'
'-y,x-y,z'
'y,-x+y,-z'
'-x+y,-x,z'
'x-y,x,-z'
loop_
_atom_site_label
_atom_site_type_symbol
_atom_site_fract_x
_atom_site_fract_y
_atom_site_fract_z
_atom_site_occupancy
Cr1 Cr 0.0000 0.0000 0.0000 1
Bi1 Bi 0.3333 0.6667 0.2312 1
O1 O 0.0756 0.7223 0.7633 1
```

---

A plane-wave DFT calculation with PBE+U was carried out for a geometry-optimized CrBiO4 structure.

Summary:
Size of the total moment in Bohr magnetons per cell: 4.00

```
data_CrBiO4
_chemical_formula_sum 'Cr4 Bi4 O16'
_symmetry_space_group_name_H-M 'P 1 21/c 1'
_symmetry_Int_Tables_number 14
_cell_length_a 7.006
_cell_length_b 7.300
_cell_length_c 8.355
_cell_angle_alpha 90.00
_cell_angle_beta 126.05
_cell_angle_gamma 90.00
loop_
_symmetry_equiv_pos_as_xyz
'x,y,z'
'-x,-y,-z'
'-x,y+1/2,-z+1/2'
'x,-y+1/2,z+1/2'
loop_
_atom_site_label
_atom_site_type_symbol
_atom_site_fract_x
_atom_site_fract_y
_atom_site_fract_z
_atom_site_occupancy
Cr1 Cr 0.195 0.162 0.395 1
Bi1 Bi 0.262 0.651 0.553 1
O1 O 0.108 0.711 0.220 1
O2 O 0.130 0.104 0.160 1
O3 O 0.306 0.517 0.051 1
O4 O 0.364 0.148 0.977 1
```

---

| no. | calculated total energy (eV per atom) |
| --- | --- |
| 1 | -6.82 |
| 2 | -6.57 |
| 3 | -6.02 |
| 4 | -6.49 |